The following is a PBE+U calculation of crystalline LiCo2C3O9 at its relaxed geometry, from the Alexandria database.

a = 7.2392 Å, b = 7.9002 Å, c = 7.7155 Å
α = 110.02°, β = 109.07°, γ = 107.45°
Last column: magnetic moment on the atom in μB.
Sites, in units of the cell vectors:
Li 0.6261 0.0820 0.3273  0.00
Li 0.1695 0.4440 0.7832  0.00
Co 0.9439 0.8220 0.4477  3.05
Co 0.8465 0.4737 0.9700  2.75
Co 0.5617 0.5082 0.5749  2.72
Co 0.4696 0.9730 0.8404  3.06
C 0.8257 0.0906 0.7167  0.01
C 0.7586 0.8273 0.0663  0.00
C 0.6320 0.3956 0.2031  0.00
C 0.3666 0.2021 0.6172  0.00
C 0.2271 0.6100 0.4318  0.00
C 0.0786 0.7741 0.8357  0.01
O 0.8259 0.0141 0.5359  0.14
O 0.9424 0.8950 0.2315  0.18
O 0.9634 0.2771 0.8533  0.06
O 0.6378 0.2864 0.0340  0.11
O 0.9116 0.7310 0.6660  0.12
O 0.6619 0.5774 0.2400  0.14
O 0.5999 0.3252 0.3221  0.05
O 0.5618 0.2588 0.6281  0.06
O 0.6494 0.9299 0.0730  0.10
O 0.6912 0.6565 0.9040  0.08
O 0.6841 0.9736 0.7430  0.14
O 0.2771 0.0354 0.6252  0.13
O 0.2722 0.3117 0.6006  0.05
O 0.3267 0.5240 0.3575  0.05
O 0.2828 0.6816 0.6321  0.12
O 0.0662 0.6282 0.3135  0.11
O 0.2534 0.9500 0.9364  0.18
O 0.0758 0.6482 0.9053  0.07

Results
Total magnetization   6.94 μB per formula unit
Calculated total energy   -207.640 eV for the cell shown
Space-group type   P1 (1)